(1)
# Na2Mn2WO6 PBE+U optimized geometry
data_Na2Mn2WO6
_chemical_formula_sum 'Na2 Mn2 W1 O6'
_space_group_name_H-M_alt 'P 1'
_space_group_IT_number 1
_space_group_name_Hall 'P 1'
_cell_length_a 5.370
_cell_length_b 5.370
_cell_length_c 5.958
_cell_angle_alpha 101.20
_cell_angle_beta 101.20
_cell_angle_gamma 116.36
loop_
_atom_site_label
_atom_site_type_symbol
_atom_site_fract_x
_atom_site_fract_y
_atom_site_fract_z
_atom_site_occupancy
Na1 Na 0.175 0.825 0.000 1
Na2 Na 0.825 0.175 0.000 1
Mn1 Mn 0.336 0.664 0.500 1
Mn2 Mn 0.664 0.336 0.500 1
W1 W 0.000 0.000 0.500 1
O1 O 0.045 0.373 0.701 1
O2 O 0.247 0.247 0.316 1
O3 O 0.373 0.045 0.701 1
O4 O 0.627 0.955 0.299 1
O5 O 0.753 0.753 0.684 1
O6 O 0.955 0.627 0.299 1
# N(E_F) = 3.94 states/eV/cell

(2)
# NaMnWO6 PBE+U optimized geometry
data_NaMnWO6
_chemical_formula_sum 'Na2 Mn2 W2 O12'
_space_group_name_H-M_alt 'P 1'
_space_group_IT_number 1
_space_group_name_Hall 'P 1'
_cell_length_a 4.811
_cell_length_b 4.811
_cell_length_c 9.193
_cell_angle_alpha 90.00
_cell_angle_beta 90.00
_cell_angle_gamma 90.00
loop_
_atom_site_label
_atom_site_type_symbol
_atom_site_fract_x
_atom_site_fract_y
_atom_site_fract_z
_atom_site_occupancy
Na1 Na 0.000 0.000 0.000 1
Na2 Na 0.500 0.500 0.500 1
Mn1 Mn 0.000 0.000 0.332 1
Mn2 Mn 0.500 0.500 0.832 1
W1 W 0.000 0.000 0.664 1
W2 W 0.500 0.500 0.164 1
O1 O 0.173 0.173 0.495 1
O2 O 0.217 0.217 0.191 1
O3 O 0.220 0.220 0.800 1
O4 O 0.280 0.720 0.300 1
O5 O 0.283 0.717 0.691 1
O6 O 0.327 0.673 0.995 1
O7 O 0.673 0.327 0.995 1
O8 O 0.717 0.283 0.691 1
O9 O 0.720 0.280 0.300 1
O10 O 0.780 0.780 0.800 1
O11 O 0.783 0.783 0.191 1
O12 O 0.827 0.827 0.495 1
# N(E_F) = 6.96 states/eV/cell

(3)
First-principles (PBE+U) data for crystalline Na2MnWO6 at its relaxed geometry, as listed in Alexandria.

```
data_Na2MnWO6
_chemical_formula_sum 'Na4 Mn2 W2 O12'
_space_group_name_H-M_alt 'P 1'
_space_group_IT_number 1
_space_group_name_Hall 'P 1'
_cell_length_a 5.358
_cell_length_b 5.393
_cell_length_c 9.314
_cell_angle_alpha 90.00
_cell_angle_beta 125.10
_cell_angle_gamma 90.00
loop_
_atom_site_label
_atom_site_type_symbol
_atom_site_fract_x
_atom_site_fract_y
_atom_site_fract_z
_atom_site_occupancy
Na1 Na 0.246 0.025 0.250 1
Na2 Na 0.246 0.475 0.750 1
Na3 Na 0.754 0.525 0.250 1
Na4 Na 0.754 0.975 0.750 1
Mn1 Mn 0.000 0.000 0.500 1
Mn2 Mn 0.000 0.500 0.000 1
W1 W 0.500 0.000 0.000 1
W2 W 0.500 0.500 0.500 1
O1 O 0.179 0.213 0.969 1
O2 O 0.179 0.287 0.469 1
O3 O 0.254 0.712 0.967 1
O4 O 0.254 0.788 0.467 1
O5 O 0.312 0.011 0.749 1
O6 O 0.312 0.489 0.249 1
O7 O 0.688 0.511 0.751 1
O8 O 0.688 0.989 0.251 1
O9 O 0.746 0.212 0.533 1
O10 O 0.746 0.288 0.033 1
O11 O 0.821 0.713 0.531 1
O12 O 0.821 0.787 0.031 1
```

no.,energy (eV per cell)
1,-74.11
2,-118.30
3,-129.57